Below is an optimized crystal structure of Pm5URu6, with properties calculated at the PBE level.

abc: 5.0424 7.0472 8.3480
angles: 114.88 107.47 90.26
With the nearest neighbours (Å) after each atom.
Fractional coordinates of all 12 atoms:
Ru1 0.8560 0.0719 0.7111  1 U 2.57, 1 Pm 2.87
Pm1 0.6752 0.1752 0.3504  8 Ru 2.97-3.26
Pm2 0.3368 0.3368 0.6736  8 Ru 3.03-3.24
Pm3 0.0000 0.5000 0.0000  8 Ru 2.87-3.18
Pm4 0.6632 0.6632 0.3264  8 Ru 3.03-3.24
Ru2 0.1449 0.3608 0.2889  1 U 2.57, 1 Pm 2.87
Ru3 0.4988 0.2263 0.0000  6 Pm 2.97-3.18, 2 U 2.97-2.99, 5 Ru 3.19-3.27
Ru4 0.5012 0.7737 0.0000  6 Pm 2.97-3.18, 2 U 2.97-2.99, 5 Ru 3.19-3.27
U1 0.0000 0.0000 0.0000  4 Ru 2.57
Ru5 0.8551 0.6392 0.7111  1 U 2.57, 1 Pm 2.87
Ru6 0.1440 0.9281 0.2889  1 U 2.57, 1 Pm 2.87
Pm5 0.3248 0.8248 0.6496  8 Ru 2.97-3.26

Values from the calculation:
As for the calculated total energy: -0.5728 Ry/atom. The crystal system is monoclinic.